[1]
Crystalline CuHg2Rh at its relaxed geometry, computed with PBE.

abc: 7.3103 7.3103 5.6293
angles: 90.00 90.00 90.00
Space group I-42d (No. 122)
Inequivalent atoms, fractional coordinates:
Cu: 0.0000 0.0000 0.0000 [4 per cell]
Hg: 0.2376 0.2500 0.1250 [8 per cell]
Rh: 0.0000 0.0000 0.5000 [4 per cell]

## Properties
The density of states at the Fermi level is 5.2 states/eV/cell. The value obtained for the total moment is 0.0 μB/f.u. For the volume, the calculation gives 300.8 Å³ per cell. The value obtained for the calculated formation energy is 0.3723 eV/atom. For the relative energy among the computed polymorphs, the calculation gives 1.04 eV/f.u.

[2]
Crystalline Cu2HgRh at its relaxed geometry, computed with PBE.

abc: 8.7971 2.9944 4.7234
angles: 90.00 102.22 90.00
Space group C2/m (No. 12)
Inequivalent atoms, fractional coordinates:
Cu: 0.2439 0.0000 0.2200 [4 per cell]
Hg: 0.0000 0.0000 0.5000 [2 per cell]
Rh: 0.0000 0.5000 0.0000 [2 per cell]

## Properties
The density of states at the Fermi level is 4.6 states/eV/cell. The value obtained for the total moment is 0.0 μB/f.u. For the volume, the calculation gives 121.6 Å³ per cell. The value obtained for the calculated formation energy is 0.1474 eV/atom.

[3]
Crystalline Cu3HgRh at its relaxed geometry, computed with PBE.

abc: 4.7107 4.7107 4.7107
angles: 90.00 90.00 90.00
Space group Pm-3m (No. 221)
Inequivalent atoms, fractional coordinates:
Cu: 0.0000 0.0000 0.5000 [3 per cell]
Hg: 0.0000 0.0000 0.0000 [1 per cell]
Rh: 0.5000 0.5000 0.5000 [1 per cell]

## Properties
The density of states at the Fermi level is 4.2 states/eV/cell. The value obtained for the total moment is 0.0 μB/f.u. For the volume, the calculation gives 104.5 Å³ per cell. The value obtained for the calculated formation energy is 1.3151 eV/atom. For the relative energy among the computed polymorphs, the calculation gives 1.98 eV/f.u.

[4]
Crystalline Cu2HgRh at its relaxed geometry, computed with PBE.

abc: 2.8279 4.1264 5.3130
angles: 90.00 105.40 90.00
Space group Pm (No. 6)
Inequivalent atoms, fractional coordinates:
Cu: 0.0000 0.0000 0.0000 [1 per cell]
Cu: 0.1220 0.5000 0.2599 [1 per cell]
Hg: 0.7389 0.0000 0.4900 [1 per cell]
Rh: 0.3980 0.5000 0.8052 [1 per cell]

## Properties
The density of states at the Fermi level is 3.6 states/eV/cell. The value obtained for the total moment is 0.0 μB/f.u. For the volume, the calculation gives 59.8 Å³ per cell. The value obtained for the calculated formation energy is 0.1786 eV/atom.

Q: What is the total moment in the third record?
A: 0.0 μB/f.u.

Q: Which formula does entry 1 have?
A: CuHg2Rh

Q: What is the formula in the first record?
A: CuHg2Rh